Record 1
## Zn4CuIr (PBE-GGA)

Data for Zn4CuIr after structural relaxation.

Cell: 4.903 4.903 4.903 Å, 60.00 60.00 60.00°
Atoms (fractional coordinates):
Zn 0.125 0.125 0.125
Zn 0.125 0.125 0.625
Zn 0.125 0.625 0.125
Zn 0.625 0.125 0.125
Cu 0.750 0.750 0.750
Ir 0.500 0.500 0.500

Computed properties:
total magnetization = 0.00 μB/f.u.
formation energy from the elements = 0.05 eV/atom
total energy = -2.963 eV/atom

Record 2
## ZnCu2Ir (PBE-GGA)

Data for ZnCu2Ir after structural relaxation.

Cell: 3.784 3.784 7.370 Å, 90.00 90.00 90.00°
Atoms (fractional coordinates):
Zn 0.000 0.000 0.000
Zn 0.500 0.500 0.500
Cu 0.000 0.500 0.250
Cu 0.000 0.500 0.750
Cu 0.500 0.000 0.250
Cu 0.500 0.000 0.750
Ir 0.000 0.000 0.500
Ir 0.500 0.500 0.000

Computed properties:
total magnetization = 0.00 μB/f.u.
formation energy from the elements = 0.01 eV/atom
total energy = -4.576 eV/atom

Record 3
## Zn2CuIr (PBE-GGA)

Data for Zn2CuIr after structural relaxation.

Cell: 2.872 4.563 8.509 Å, 90.00 90.00 90.00°
Atoms (fractional coordinates):
Zn 0.000 0.000 0.244
Zn 0.000 0.000 0.756
Zn 0.500 0.500 0.244
Zn 0.500 0.500 0.756
Cu 0.000 0.500 0.000
Cu 0.500 0.000 0.000
Ir 0.000 0.500 0.500
Ir 0.500 0.000 0.500

Computed properties:
total magnetization = 0.00 μB/f.u.
formation energy from the elements = -0.04 eV/atom
total energy = -3.920 eV/atom

Record 4
## Zn7Cu3Ir2 (PBE-GGA)

Data for Zn7Cu3Ir2 after structural relaxation.

Cell: 13.448 13.448 2.992 Å, 90.00 90.00 161.68°
Atoms (fractional coordinates):
Zn 0.000 0.000 0.000
Zn 0.091 0.909 0.500
Zn 0.272 0.728 0.000
Zn 0.424 0.576 0.000
Zn 0.576 0.424 0.000
Zn 0.728 0.272 0.000
Zn 0.909 0.091 0.500
Cu 0.348 0.652 0.500
Cu 0.500 0.500 0.500
Cu 0.652 0.348 0.500
Ir 0.171 0.829 0.000
Ir 0.829 0.171 0.000

Computed properties:
total magnetization = 0.00 μB/f.u.
formation energy from the elements = -0.01 eV/atom
total energy = -3.251 eV/atom

Record 5
## Zn3Cu7Ir (PBE-GGA)

Data for Zn3Cu7Ir after structural relaxation.

Cell: 5.247 5.247 6.251 Å, 90.00 90.00 120.00°
Atoms (fractional coordinates):
Zn 0.167 0.335 0.000
Zn 0.167 0.833 0.000
Zn 0.665 0.833 0.000
Cu 0.333 0.667 0.327
Cu 0.338 0.169 0.330
Cu 0.501 0.002 0.661
Cu 0.501 0.499 0.661
Cu 0.831 0.169 0.330
Cu 0.831 0.662 0.330
Cu 0.998 0.499 0.661
Ir 0.000 0.000 0.670

Computed properties:
total magnetization = 0.00 μB/f.u.
formation energy from the elements = 0.00 eV/atom
total energy = -3.757 eV/atom

Record 6
## ZnCu2Ir (PBE-GGA)

Data for ZnCu2Ir after structural relaxation.

Cell: 2.682 2.682 25.655 Å, 90.00 90.00 120.00°
Atoms (fractional coordinates):
Zn 0.000 0.000 0.000
Zn 0.333 0.667 0.667
Zn 0.667 0.333 0.333
Cu 0.000 0.000 0.415
Cu 0.000 0.000 0.585
Cu 0.333 0.667 0.082
Cu 0.333 0.667 0.252
Cu 0.667 0.333 0.748
Cu 0.667 0.333 0.918
Ir 0.000 0.000 0.167
Ir 0.333 0.667 0.833
Ir 0.667 0.333 0.500

Computed properties:
total magnetization = 0.00 μB/f.u.
formation energy from the elements = 0.03 eV/atom
total energy = -4.555 eV/atom

Record 7
## ZnCu4Ir (PBE-GGA)

Data for ZnCu4Ir after structural relaxation.

Cell: 3.762 10.893 3.723 Å, 90.00 90.00 90.00°
Atoms (fractional coordinates):
Zn 0.000 0.000 0.000
Zn 0.500 0.500 0.000
Cu 0.000 0.172 0.500
Cu 0.000 0.330 0.000
Cu 0.000 0.670 0.000
Cu 0.000 0.828 0.500
Cu 0.500 0.170 0.000
Cu 0.500 0.328 0.500
Cu 0.500 0.672 0.500
Cu 0.500 0.830 0.000
Ir 0.000 0.500 0.500
Ir 0.500 0.000 0.500

Computed properties:
total magnetization = 0.00 μB/f.u.
formation energy from the elements = -0.02 eV/atom
total energy = -4.444 eV/atom

Record 8
## Zn6CuIr2 (PBE-GGA)

Data for Zn6CuIr2 after structural relaxation.

Cell: 7.183 7.183 4.183 Å, 106.29 106.29 48.48°
Atoms (fractional coordinates):
Zn 0.083 0.581 0.331
Zn 0.245 0.755 0.000
Zn 0.419 0.917 0.669
Zn 0.581 0.083 0.331
Zn 0.755 0.245 0.000
Zn 0.917 0.419 0.669
Cu 0.000 0.000 0.500
Ir 0.336 0.336 0.835
Ir 0.664 0.664 0.165

Computed properties:
total magnetization = 0.00 μB/f.u.
formation energy from the elements = 0.04 eV/atom
total energy = -3.231 eV/atom

Record 9
## Zn2Cu2Ir (PBE-GGA)

Data for Zn2Cu2Ir after structural relaxation.

Cell: 6.955 6.955 2.759 Å, 90.00 90.00 90.00°
Atoms (fractional coordinates):
Zn 0.133 0.367 0.000
Zn 0.367 0.867 0.000
Zn 0.633 0.133 0.000
Zn 0.867 0.633 0.000
Cu 0.165 0.665 0.500
Cu 0.335 0.165 0.500
Cu 0.665 0.835 0.500
Cu 0.835 0.335 0.500
Ir 0.000 0.000 0.000
Ir 0.500 0.500 0.000

Computed properties:
total magnetization = 0.46 μB/f.u.
formation energy from the elements = 0.08 eV/atom
total energy = -3.843 eV/atom

Record 10
## Zn8Cu6Ir (PBE-GGA)

Data for Zn8Cu6Ir after structural relaxation.

Cell: 6.121 6.121 6.121 Å, 82.34 82.34 82.34°
Atoms (fractional coordinates):
Zn 0.087 0.814 0.373
Zn 0.186 0.627 0.913
Zn 0.223 0.223 0.223
Zn 0.373 0.087 0.814
Zn 0.627 0.913 0.186
Zn 0.777 0.777 0.777
Zn 0.814 0.373 0.087
Zn 0.913 0.186 0.627
Cu 0.209 0.444 0.565
Cu 0.435 0.791 0.556
Cu 0.444 0.565 0.209
Cu 0.556 0.435 0.791
Cu 0.565 0.209 0.444
Cu 0.791 0.556 0.435
Ir 0.000 0.000 0.000

Computed properties:
total magnetization = 0.00 μB/f.u.
formation energy from the elements = 0.06 eV/atom
total energy = -2.844 eV/atom

Record 11
## ZnCu2Ir (PBE-GGA)

Data for ZnCu2Ir after structural relaxation.

Cell: 3.840 3.840 7.139 Å, 90.00 90.00 90.00°
Atoms (fractional coordinates):
Zn 0.000 0.000 0.000
Zn 0.500 0.500 0.500
Cu 0.000 0.000 0.500
Cu 0.000 0.500 0.750
Cu 0.500 0.000 0.250
Cu 0.500 0.500 0.000
Ir 0.000 0.500 0.250
Ir 0.500 0.000 0.750

Computed properties:
total magnetization = 0.00 μB/f.u.
formation energy from the elements = -0.03 eV/atom
total energy = -4.611 eV/atom

Record 12
## Zn3Cu4Ir2 (PBE-GGA)

Data for Zn3Cu4Ir2 after structural relaxation.

Cell: 4.564 6.935 8.222 Å, 72.82 74.64 89.21°
Atoms (fractional coordinates):
Zn 0.050 0.471 0.226
Zn 0.275 0.861 0.115
Zn 0.388 0.802 0.552
Zn 0.612 0.198 0.448
Zn 0.725 0.139 0.885
Zn 0.950 0.529 0.774
Cu 0.057 0.310 0.555
Cu 0.168 0.249 0.994
Cu 0.271 0.033 0.778
Cu 0.498 0.417 0.663
Cu 0.502 0.583 0.337
Cu 0.729 0.967 0.222
Cu 0.832 0.751 0.006
Cu 0.943 0.690 0.445
Ir 0.176 0.083 0.331
Ir 0.384 0.641 0.894
Ir 0.616 0.359 0.106
Ir 0.824 0.917 0.669

Computed properties:
total magnetization = 0.00 μB/f.u.
formation energy from the elements = -0.05 eV/atom
total energy = -4.262 eV/atom

Record 13
## Zn2CuIr (PBE-GGA)

Data for Zn2CuIr after structural relaxation.

Cell: 5.597 6.534 2.986 Å, 90.00 90.00 90.00°
Atoms (fractional coordinates):
Zn 0.250 0.250 0.000
Zn 0.250 0.750 0.000
Zn 0.750 0.250 0.000
Zn 0.750 0.750 0.000
Cu 0.000 0.000 0.500
Cu 0.500 0.500 0.500
Ir 0.000 0.500 0.500
Ir 0.500 0.000 0.500

Computed properties:
total magnetization = 0.00 μB/f.u.
formation energy from the elements = -0.18 eV/atom
total energy = -4.059 eV/atom

Record 14
## ZnCu3Ir (PBE-GGA)

Data for ZnCu3Ir after structural relaxation.

Cell: 4.662 4.662 4.662 Å, 90.00 90.00 90.00°
Atoms (fractional coordinates):
Zn 0.000 0.000 0.000
Cu 0.000 0.500 0.500
Cu 0.500 0.000 0.500
Cu 0.500 0.500 0.000
Ir 0.500 0.500 0.500

Computed properties:
total magnetization = 0.00 μB/f.u.
formation energy from the elements = 1.08 eV/atom
total energy = -3.402 eV/atom

Record 15
## Zn7Cu4Ir (PBE-GGA)

Data for Zn7Cu4Ir after structural relaxation.

Cell: 6.416 6.416 6.999 Å, 112.72 112.72 42.45°
Atoms (fractional coordinates):
Zn 0.000 0.000 0.000
Zn 0.267 0.267 0.762
Zn 0.336 0.336 0.164
Zn 0.418 0.418 0.580
Zn 0.582 0.582 0.420
Zn 0.664 0.664 0.836
Zn 0.733 0.733 0.238
Cu 0.047 0.047 0.689
Cu 0.182 0.182 0.363
Cu 0.818 0.818 0.637
Cu 0.953 0.953 0.311
Ir 0.500 0.500 0.000

Computed properties:
total magnetization = 0.00 μB/f.u.
formation energy from the elements = 0.09 eV/atom
total energy = -2.761 eV/atom

Record 16
## Zn2CuIr (PBE-GGA)

Data for Zn2CuIr after structural relaxation.

Cell: 3.706 3.706 17.541 Å, 90.00 90.00 90.00°
Atoms (fractional coordinates):
Zn 0.246 0.250 0.125
Zn 0.250 0.746 0.375
Zn 0.250 0.754 0.875
Zn 0.254 0.250 0.625
Zn 0.746 0.750 0.625
Zn 0.750 0.246 0.875
Zn 0.750 0.254 0.375
Zn 0.754 0.750 0.125
Cu 0.000 0.000 0.500
Cu 0.000 0.500 0.750
Cu 0.500 0.000 0.250
Cu 0.500 0.500 0.000
Ir 0.000 0.000 0.000
Ir 0.000 0.500 0.250
Ir 0.500 0.000 0.750
Ir 0.500 0.500 0.500

Computed properties:
total magnetization = 0.00 μB/f.u.
formation energy from the elements = 0.21 eV/atom
total energy = -3.670 eV/atom

Record 17
## ZnCu2Ir (PBE-GGA)

Data for ZnCu2Ir after structural relaxation.

Cell: 9.498 2.783 4.449 Å, 90.00 116.04 90.00°
Atoms (fractional coordinates):
Zn 0.000 0.000 0.000
Zn 0.500 0.500 0.000
Cu 0.249 0.500 0.389
Cu 0.496 0.000 0.493
Cu 0.749 0.000 0.389
Cu 0.996 0.500 0.493
Ir 0.247 0.000 0.887
Ir 0.747 0.500 0.887

Computed properties:
total magnetization = 0.00 μB/f.u.
formation energy from the elements = -0.03 eV/atom
total energy = -4.611 eV/atom

Record 18
## Zn8Cu2Ir (PBE-GGA)

Data for Zn8Cu2Ir after structural relaxation.

Cell: 6.993 6.993 6.993 Å, 146.23 122.99 67.93°
Atoms (fractional coordinates):
Zn 0.140 0.350 0.790
Zn 0.154 0.154 0.000
Zn 0.299 0.000 0.299
Zn 0.440 0.650 0.790
Zn 0.560 0.350 0.210
Zn 0.701 0.000 0.701
Zn 0.846 0.846 0.000
Zn 0.860 0.650 0.210
Cu 0.300 0.800 0.500
Cu 0.700 0.200 0.500
Ir 0.000 0.500 0.500

Computed properties:
total magnetization = 0.00 μB/f.u.
formation energy from the elements = -0.11 eV/atom
total energy = -2.591 eV/atom

Record 19
## Zn2CuIr (PBE-GGA)

Data for Zn2CuIr after structural relaxation.

Cell: 6.032 6.032 6.032 Å, 90.00 90.00 90.00°
Atoms (fractional coordinates):
Zn 0.000 0.000 0.000
Zn 0.000 0.500 0.500
Zn 0.250 0.250 0.250
Zn 0.250 0.750 0.750
Zn 0.500 0.000 0.500
Zn 0.500 0.500 0.000
Zn 0.750 0.250 0.750
Zn 0.750 0.750 0.250
Cu 0.250 0.250 0.750
Cu 0.250 0.750 0.250
Cu 0.750 0.250 0.250
Cu 0.750 0.750 0.750
Ir 0.000 0.000 0.500
Ir 0.000 0.500 0.000
Ir 0.500 0.000 0.000
Ir 0.500 0.500 0.500

Computed properties:
total magnetization = 0.00 μB/f.u.
formation energy from the elements = -0.05 eV/atom
total energy = -3.931 eV/atom

Record 20
## ZnCu2Ir (PBE-GGA)

Data for ZnCu2Ir after structural relaxation.

Cell: 2.701 2.701 25.321 Å, 90.00 90.00 120.00°
Atoms (fractional coordinates):
Zn 0.000 0.000 0.000
Zn 0.333 0.667 0.667
Zn 0.667 0.333 0.333
Cu 0.000 0.000 0.252
Cu 0.000 0.000 0.506
Cu 0.333 0.667 0.173
Cu 0.333 0.667 0.919
Cu 0.667 0.333 0.586
Cu 0.667 0.333 0.839
Ir 0.000 0.000 0.754
Ir 0.333 0.667 0.421
Ir 0.667 0.333 0.087

Computed properties:
total magnetization = 0.00 μB/f.u.
formation energy from the elements = 0.00 eV/atom
total energy = -4.586 eV/atom

Record 21
## Zn2CuIr (PBE-GGA)

Data for Zn2CuIr after structural relaxation.

Cell: 2.772 3.828 5.239 Å, 90.00 90.00 90.00°
Atoms (fractional coordinates):
Zn 0.000 0.000 0.000
Zn 0.500 0.500 0.280
Cu 0.000 0.000 0.512
Ir 0.500 0.500 0.775

Computed properties:
total magnetization = 0.00 μB/f.u.
formation energy from the elements = -0.05 eV/atom
total energy = -3.931 eV/atom

Record 22
## Zn4Cu2Ir (PBE-GGA)

Data for Zn4Cu2Ir after structural relaxation.

Cell: 6.425 6.425 6.425 Å, 109.39 109.39 109.63°
Atoms (fractional coordinates):
Zn 0.120 0.536 0.748
Zn 0.123 0.038 0.752
Zn 0.286 0.370 0.248
Zn 0.464 0.212 0.584
Zn 0.627 0.880 0.416
Zn 0.630 0.877 0.916
Zn 0.788 0.373 0.252
Zn 0.962 0.714 0.084
Cu 0.375 0.001 0.126
Cu 0.751 0.625 0.626
Cu 0.875 0.249 0.874
Cu 0.999 0.125 0.374
Ir 0.250 0.750 0.500
Ir 0.500 0.500 0.000

Computed properties:
total magnetization = 0.00 μB/f.u.
formation energy from the elements = 0.05 eV/atom
total energy = -3.116 eV/atom

Record 23
## ZnCu2Ir (PBE-GGA)

Data for ZnCu2Ir after structural relaxation.

Cell: 3.571 3.571 18.029 Å, 90.00 90.00 90.00°
Atoms (fractional coordinates):
Zn 0.000 0.000 0.000
Zn 0.000 0.500 0.250
Zn 0.500 0.000 0.750
Zn 0.500 0.500 0.500
Cu 0.248 0.250 0.625
Cu 0.250 0.748 0.875
Cu 0.250 0.752 0.375
Cu 0.252 0.250 0.125
Cu 0.748 0.750 0.125
Cu 0.750 0.248 0.375
Cu 0.750 0.252 0.875
Cu 0.752 0.750 0.625
Ir 0.000 0.000 0.500
Ir 0.000 0.500 0.750
Ir 0.500 0.000 0.250
Ir 0.500 0.500 0.000

Computed properties:
total magnetization = 0.00 μB/f.u.
formation energy from the elements = 0.28 eV/atom
total energy = -4.298 eV/atom

Record 24
## Zn6Cu8Ir (PBE-GGA)

Data for Zn6Cu8Ir after structural relaxation.

Cell: 6.627 6.627 6.627 Å, 59.39 59.39 59.39°
Atoms (fractional coordinates):
Zn 0.036 0.563 0.735
Zn 0.265 0.964 0.437
Zn 0.437 0.265 0.964
Zn 0.563 0.735 0.036
Zn 0.735 0.036 0.563
Zn 0.964 0.437 0.265
Cu 0.104 0.806 0.271
Cu 0.194 0.729 0.896
Cu 0.271 0.104 0.806
Cu 0.342 0.342 0.342
Cu 0.658 0.658 0.658
Cu 0.729 0.896 0.194
Cu 0.806 0.271 0.104
Cu 0.896 0.194 0.729
Ir 0.500 0.500 0.500

Computed properties:
total magnetization = 0.00 μB/f.u.
formation energy from the elements = -0.03 eV/atom
total energy = -3.312 eV/atom